# ZnBAsO

A relaxed structure of ZnBAsO (GGA-PBE, OQMD).

```
8
Lattice="3.466 0.000 0.000 0.000 7.742 0.000 0.000 0.000 4.351" Properties=species:S:1:pos:R:3 pbc="T T T"
Zn 0.000 0.794 0.000
Zn 0.000 6.947 2.175
B 1.733 3.193 2.577
B 1.733 4.548 0.401
As 0.000 1.903 2.162
As 0.000 5.839 4.338
O 1.733 3.394 3.967
O 1.733 4.348 1.792
```

Summary:
Space-group type = Pmc2_1, No. 26
Calculated total energy = -20.64 eV per formula unit